! CoHg3Cl2F6, optimized geometry, DFT PBE with a Hubbard U; values from VASP
! Total energy (eV per atom): -2.964
! Volume (Å³ per cell): 217
&SYSTEM
  ibrav = 0, nat = 12, ntyp = 4
/
ATOMIC_SPECIES
Co 58.93 Co.upf
Hg 200.59 Hg.upf
Cl 35.45 Cl.upf
F 19.00 F.upf
ATOMIC_POSITIONS crystal
Co 0.000 0.000 0.000
Hg 0.000 0.500 0.000
Hg 0.500 0.000 0.000
Hg 0.500 0.500 0.500
Cl 0.311 0.311 0.594
Cl 0.689 0.689 0.406
F 0.122 0.122 0.205
F 0.141 0.722 0.181
F 0.278 0.859 0.819
F 0.722 0.141 0.181
F 0.859 0.278 0.819
F 0.878 0.878 0.795
CELL_PARAMETERS angstrom
6.164 -3.202 0.000
6.164 3.202 0.000
-0.101 0.000 5.492